A plane-wave DFT calculation with PBE-GGA was carried out for crystalline BaPu2Ru at its relaxed geometry.

Output
For the total DFT energy (no corrections), the calculation gives -39.2 eV/f.u. For the total magnetic moment, the calculation gives 32.49 μB per cell. For the energy relative to the elements, the calculation gives 0.65 eV/f.u.

Cell: 4.0741 4.0741 27.2631 Å, 90.00 90.00 120.00°
Space group R-3m (No. 166, hexagonal axes)
Asymmetric unit:
Ba 0.0000 0.0000 0.0000 [3 per cell]
Pu 0.0000 0.0000 0.2178 [6 per cell]
Ru 0.0000 0.0000 0.5000 [3 per cell]